Entry 1:
Zn3Cr5, relaxed, DFT PBE; E_tot = -96.3 eV per cell; magnetization = 9.4 μB per cell; E_form = 475 meV per atom; volume = 218 Å³ per cell
1.0
7.325 0.000 0.000
3.662 6.343 0.000
0.000 0.000 4.701
Zn Cr
6 10
Cartesian
5.871 2.518 3.525
4.417 0.000 1.175
2.209 3.826 3.525
5.116 3.826 1.175
1.454 2.518 1.175
2.908 0.000 3.525
4.533 4.836 3.525
7.325 4.229 2.350
7.325 4.229 0.000
3.662 2.114 0.000
5.584 0.000 3.525
0.870 1.507 3.525
6.455 1.507 1.175
2.792 4.836 1.175
1.741 0.000 1.175
3.662 2.114 2.350



Entry 2:
Dy2Be4Si3Os, relaxed, DFT PBE; E_tot = -55.9 eV per cell; formation energy from raw total energies = -0.425 eV/atom; magnetization = 0.0 μB per cell; volume = 143 Å³ per cell
1.0
-3.700 -0.009 0.838
0.818 -0.847 3.606
0.468 9.700 2.173
Si Be Os Dy
3 4 1 2
Cartesian
0.471 0.855 2.090
-1.444 8.417 2.305
0.234 4.850 1.087
0.579 3.106 2.594
-1.441 -0.428 2.222
-1.552 6.166 1.801
0.000 0.000 0.000
-1.207 4.422 3.308
0.762 6.890 3.442
-1.735 2.382 0.953



Entry 3:
BaLiNpCl6, relaxed, DFT PBE; E_tot = -91.5 eV per cell; formation energy from raw total energies = -1.986 eV/atom; magnetization = 8.0 μB per cell; volume = 561 Å³ per cell
1.0
6.941 0.000 0.000
-3.470 6.011 0.000
0.000 0.000 13.447
Cl Np Li Ba
12 2 2 2
Cartesian
-1.192 2.211 1.853
4.662 3.800 11.594
1.192 2.211 4.871
2.152 3.873 1.853
5.622 2.137 8.576
-2.152 3.873 4.871
-0.960 5.937 1.853
4.430 0.073 11.594
1.319 2.137 11.594
2.279 3.800 8.576
0.960 5.937 4.871
2.510 0.073 8.576
3.470 2.004 3.362
0.000 4.007 10.085
3.470 2.004 10.085
0.000 4.007 3.362
0.000 0.000 6.724
0.000 0.000 0.000



Entry 4:
TiReNi, relaxed, DFT PBE; E_tot = -53.1 eV per cell; magnetization = 0.0 μB per cell; E_form = -139 meV per atom; volume = 84 Å³ per cell
1.0
-0.542 -4.139 1.663
2.478 -0.213 3.788
-2.214 1.202 4.102
Re Ni Ti
2 2 2
Cartesian
0.662 -4.036 4.870
-0.940 0.887 4.683
-0.139 -1.575 4.777
-1.107 0.601 2.051
-0.277 -1.926 2.184
-0.001 -1.223 7.369